! NdVO4F, relaxed, DFT PBE with a Hubbard U; values from VASP
&SYSTEM
  ibrav = 0, nat = 14, ntyp = 4
/
ATOMIC_SPECIES
Nd 144.24 Nd.upf
V 50.94 V.upf
O 16.00 O.upf
F 19.00 F.upf
ATOMIC_POSITIONS crystal
Nd 0.195 0.195 0.088
Nd 0.805 0.805 0.912
V 0.377 0.377 0.713
V 0.623 0.623 0.287
O 0.135 0.494 0.839
O 0.314 0.314 0.452
O 0.442 0.442 0.245
O 0.494 0.135 0.839
O 0.506 0.865 0.161
O 0.558 0.558 0.755
O 0.686 0.686 0.548
O 0.865 0.506 0.161
F 0.020 0.020 0.807
F 0.980 0.980 0.193
CELL_PARAMETERS angstrom
4.877 -3.707 0.000
4.877 3.707 0.000
-1.018 0.000 6.556
! Symmetry ... C2/m (12)
! E_tot ... -7.291 eV per atom